Below is a geometry-optimized ThTc6Ge6 structure, with properties calculated at the PBE level.

a = 5.4515 Å, b = 5.4515 Å, c = 8.3939 Å
α = 90.00°, β = 90.00°, γ = 120.00°
With the nearest neighbours (Å) after each atom.
Space group P6/mmm (No. 191)
One atom of each set of equivalent atoms:
Th1 0.0000 0.0000 0.0000 [1 per cell]  8 Ge 2.96-3.15
Tc1 0.0000 0.5000 0.2525 [6 per cell]  6 Ge 2.61-2.85, 4 Tc 2.73
Ge1 0.0000 0.0000 0.3524 [2 per cell]  1 Ge 2.48
Ge2 0.3333 0.6667 0.0000 [2 per cell]  6 Tc 2.64
Ge3 0.3333 0.6667 0.5000 [2 per cell]  6 Tc 2.61

## Properties
The magnetic moment comes out at 0.009 μB/atom. The final energy comes out at -7.6578 eV per atom. The value obtained for the density of states at the Fermi level is 14.407 states/eV/f.u. For the volume, the calculation gives 216 Å³/cell.